DFT (GGA-PBE) results for crystalline Be2TeBr2 at its relaxed geometry.

## Properties
total DFT energy (no corrections): -23.53 eV for the cell shown
formation energy without anion corrections: 0.43 eV per atom
polymorph energy (0 for the lowest one): 0.397 eV per atom

Unit cell a=4.4195 b=4.4195 c=10.3998 alpha=90.00 beta=90.00 gamma=90.00
Last column: nearest neighbours and their distance in Å.
Space group I4/mmm (No. 139)
Symmetry-distinct sites (fractional):
Be (0.0000, 0.0000, 0.1209) x4  1 Be 2.52, 4 Br 2.59
Te (0.0000, 0.0000, 0.5000) x2  8 Be 3.37, 8 Br 3.41
Br (0.0000, 0.5000, 0.2500) x4  4 Be 2.59



DFT (GGA-PBE) results for crystalline Be2TeBr2 at its relaxed geometry.

## Properties
total DFT energy (no corrections): -27.50 eV for the cell shown
formation energy without anion corrections: 0.04 eV per atom
polymorph energy (0 for the lowest one): 0.000 eV per atom

Unit cell a=7.9257 b=7.9257 c=3.8640 alpha=90.00 beta=90.00 gamma=90.00
Last column: nearest neighbours and their distance in Å.
Space group P4/mbm (No. 127)
Symmetry-distinct sites (fractional):
Be (0.2317, 0.2683, 0.0000) x4  2 Br 2.19
Te (0.0000, 0.0000, 0.0000) x2  4 Be 2.81
Br (0.1407, 0.3593, 0.5000) x4  2 Be 2.19



DFT (GGA-PBE) results for crystalline BeTe3Br at its relaxed geometry.

## Properties
total DFT energy (no corrections): -8.41 eV for the cell shown
formation energy without anion corrections: 1.28 eV per atom
polymorph energy (0 for the lowest one): 0.954 eV per atom

Unit cell a=5.5741 b=5.5741 c=5.5741 alpha=90.00 beta=90.00 gamma=90.00
Last column: nearest neighbours and their distance in Å.
Space group Pm-3m (No. 221)
Symmetry-distinct sites (fractional):
Be (0.0000, 0.0000, 0.0000) x1  12 Te 3.94
Te (0.0000, 0.5000, 0.5000) x3  2 Br 2.79
Br (0.5000, 0.5000, 0.5000) x1  6 Te 2.79



DFT (GGA-PBE) results for crystalline BeTe2Br at its relaxed geometry.

## Properties
total DFT energy (no corrections): -19.16 eV for the cell shown
formation energy without anion corrections: 0.53 eV per atom
polymorph energy (0 for the lowest one): 0.728 eV per atom

Unit cell a=3.9403 b=3.9403 c=17.1470 alpha=90.00 beta=90.00 gamma=90.00
Last column: nearest neighbours and their distance in Å.
Space group I-4m2 (No. 119)
Symmetry-distinct sites (fractional):
Be (0.0000, 0.0000, 0.0000) x2  4 Te 2.79
Te (0.0000, 0.0000, 0.5000) x2  4 Be 2.79
Te (0.0000, 0.5000, 0.2500) x2  4 Br 2.79
Br (0.0000, 0.5000, 0.7500) x2  4 Te 2.79



Among the records above, which one has the lowest formation energy without anion corrections?
number 2